Record 1
V2SbPd: optimized geometry, PBE.

Properties
ρ, g/cm³: 8.70
Crystal system: tetragonal
SG: P4/mmm, No. 123
VASP energy, eV per cell: -28.07
Size of the total moment, μB/f.u.: 0.0

abc: 3.8539 3.8539 4.2436
angles: 90.00 90.00 90.00
Fractional positions:
V 0.0000 0.5000 0.0000
V 0.5000 0.0000 0.0000
Sb 0.0000 0.0000 0.5000
Pd 0.5000 0.5000 0.5000


Record 2
Ti2TlTc: optimized geometry, PBE.

Properties
ρ, g/cm³: 9.64
DFT formation energy, eV per atom: -0.060
Crystal system: tetragonal
SG: P4/mmm, No. 123
Size of the total moment, μB/f.u.: 0.0

abc: 4.4789 4.4789 3.4176
angles: 90.00 90.00 90.00
Fractional positions:
Ti 0.0000 0.5000 0.0000
Ti 0.5000 0.0000 0.0000
Tl 0.0000 0.0000 0.5000
Tc 0.5000 0.5000 0.5000


Record 3
Eu2ScAg: optimized geometry, PBE.

Properties
ρ, g/cm³: 6.41
DFT formation energy, eV per atom: -0.010
Crystal system: tetragonal
SG: P4/mmm, No. 123
Size of the total moment, μB/f.u.: 14.4

abc: 3.9045 3.9045 7.7619
angles: 90.00 90.00 90.00
Fractional positions:
Eu 0.0000 0.0000 0.2314
Eu 0.0000 0.0000 0.7686
Sc 0.5000 0.5000 0.5000
Ag 0.5000 0.5000 0.0000


Record 4
BCCl2: optimized geometry, PBE.

Properties
ρ, g/cm³: 2.66
Crystal system: cubic
SG: Fm-3m, No. 225
VASP energy, eV per cell: -9.65
Size of the total moment, μB/f.u.: 0.0

abc: 4.3577 4.3577 4.3577
angles: 60.00 60.00 60.00
Fractional positions:
B 0.0000 0.0000 0.0000
C 0.5000 0.5000 0.5000
Cl 0.2500 0.2500 0.2500
Cl 0.7500 0.7500 0.7500